DFT (meta-GGA SCAN) results for CrTeRuI2 at its PBEsol-relaxed geometry.

The structure belongs to space group P4/mmm (No. 123); the cell edges are 5.4597, 5.4597 and 4.9191 Å and the angles 90.00°, 90.00° and 90.00°. Symmetry generates all atoms from Cr at (0.0000, 0.0000, 0.0000), Te at (0.5000, 0.5000, 0.0000), Ru at (0.5000, 0.5000, 0.5000) and I at (0.0000, 0.5000, 0.5000).

The calculation puts the uncorrected formation energy at 2.82 eV/f.u. The uncorrected energy is -32.226 eV/atom. The spin magnetization comes out at 4.8 μB/cell. For the polymorph energy (0 for the lowest one), the calculation gives 0 meV per atom.

---

DFT (meta-GGA SCAN) results for CrS2I at its PBEsol-relaxed geometry.

The structure belongs to space group Fm-3m (No. 225); the cell edges are 6.5884, 6.5884 and 6.5884 Å and the angles 90.00°, 90.00° and 90.00°. Symmetry generates all atoms from Cr at (0.0000, 0.0000, 0.0000), S at (0.2500, 0.2500, 0.2500) and I at (0.0000, 0.0000, 0.5000).

The calculation puts the uncorrected formation energy at 2.69 eV/f.u. The uncorrected energy is -17.924 eV/atom. The spin magnetization comes out at 11.6 μB/cell.

---

DFT (meta-GGA SCAN) results for CrSbSI2 at its PBEsol-relaxed geometry.

The structure belongs to space group P4/mmm (No. 123); the cell edges are 5.2628, 5.2628 and 5.3763 Å and the angles 90.00°, 90.00° and 90.00°. Symmetry generates all atoms from Cr at (0.0000, 0.0000, 0.0000), Sb at (0.5000, 0.5000, 0.0000), S at (0.5000, 0.5000, 0.5000) and I at (0.0000, 0.5000, 0.5000).

The calculation puts the uncorrected formation energy at 3.53 eV/f.u. The uncorrected energy is -27.045 eV/atom. The spin magnetization comes out at 4.0 μB/cell.

---

DFT (meta-GGA SCAN) results for CrSiSbI2 at its PBEsol-relaxed geometry.

The structure belongs to space group P4/mmm (No. 123); the cell edges are 5.3602, 5.3602 and 5.3288 Å and the angles 90.00°, 90.00° and 90.00°. Symmetry generates all atoms from Cr at (0.0000, 0.0000, 0.0000), Si at (0.5000, 0.5000, 0.5000), Sb at (0.5000, 0.5000, 0.0000) and I at (0.0000, 0.5000, 0.5000).

The calculation puts the uncorrected formation energy at 3.50 eV/f.u. The uncorrected energy is -27.130 eV/atom. The spin magnetization comes out at 4.1 μB/cell.

---

DFT (meta-GGA SCAN) results for TaCrSbI2 at its PBEsol-relaxed geometry.

The structure belongs to space group P4/mmm (No. 123); the cell edges are 5.4065, 5.4065 and 5.4414 Å and the angles 90.00°, 90.00° and 90.00°. Symmetry generates all atoms from Ta at (0.0000, 0.0000, 0.0000), Cr at (0.5000, 0.5000, 0.5000), Sb at (0.0000, 0.0000, 0.5000) and I at (0.0000, 0.5000, 0.0000).

The calculation puts the uncorrected formation energy at 3.66 eV/f.u. The uncorrected energy is -38.411 eV/atom. The spin magnetization comes out at 5.6 μB/cell.

---

DFT (meta-GGA SCAN) results for TlCrSb2I at its PBEsol-relaxed geometry.

The structure belongs to space group P4/mmm (No. 123); the cell edges are 5.5765, 5.5765 and 6.0110 Å and the angles 90.00°, 90.00° and 90.00°. Symmetry generates all atoms from Tl at (0.0000, 0.0000, 0.0000), Cr at (0.5000, 0.5000, 0.5000), Sb at (0.0000, 0.5000, 0.0000) and I at (0.0000, 0.0000, 0.5000).

The calculation puts the uncorrected formation energy at 4.76 eV/f.u. The uncorrected energy is -39.449 eV/atom. The spin magnetization comes out at 3.5 μB/cell.

---

DFT (meta-GGA SCAN) results for ZrCrSbI2 at its PBEsol-relaxed geometry.

The structure belongs to space group P4/mmm (No. 123); the cell edges are 5.1672, 5.1672 and 5.2765 Å and the angles 90.00°, 90.00° and 90.00°. Symmetry generates all atoms from Zr at (0.0000, 0.0000, 0.0000), Cr at (0.5000, 0.5000, 0.5000), Sb at (0.5000, 0.5000, 0.0000) and I at (0.0000, 0.5000, 0.5000).

The calculation puts the uncorrected formation energy at 2.39 eV/f.u. The uncorrected energy is -31.487 eV/atom. The spin magnetization comes out at 2.3 μB/cell.

---

DFT (meta-GGA SCAN) results for CrSeI2 at its PBEsol-relaxed geometry.

The structure belongs to space group Fm-3m (No. 225); the cell edges are 7.2867, 7.2867 and 7.2867 Å and the angles 90.00°, 90.00° and 90.00°. Symmetry generates all atoms from Cr at (0.0000, 0.0000, 0.0000), Se at (0.0000, 0.0000, 0.5000) and I at (0.2500, 0.2500, 0.2500).

The calculation puts the uncorrected formation energy at 2.04 eV/f.u. The uncorrected energy is -27.476 eV/atom. The spin magnetization comes out at 8.4 μB/cell.